Here is Ac2Pr7Sm2 after structural relaxation from Alexandria via LeMat-Bulk. Energies are from PBE. Values from VASP.

Properties
**Space-group type**: C2/m (12)
**E**: -4.403 eV per atom
**E above lowest polymorph**: 0 meV/atom
**Crystal system**: monoclinic
**Magnetization**: 0.00 μB/f.u.
**Formation enthalpy at 0 K**: 259 kJ/mol of formula units

Structure (Quantum ESPRESSO input):
```
&SYSTEM
  ibrav = 0, nat = 11, ntyp = 3
/
ATOMIC_SPECIES
Ac 227.00 Ac.upf
Pr 140.91 Pr.upf
Sm 150.36 Sm.upf
CELL_PARAMETERS angstrom
7.170 -3.597 0.000
7.170 3.597 0.000
-3.530 0.000 8.182
ATOMIC_POSITIONS angstrom
Ac 7.170 1.819 0.000
Ac 7.170 -1.819 0.000
Pr -1.765 0.000 4.091
Pr 3.605 1.826 1.719
Pr 3.948 0.000 4.979
Pr 7.205 1.826 6.462
Pr 3.605 -1.826 1.719
Pr 6.861 0.000 3.203
Pr 7.205 -1.826 6.462
Sm 1.144 0.000 3.224
Sm 9.665 0.000 4.958
```



Here is VSiB3 after structural relaxation from Alexandria via LeMat-Bulk. Energies are from PBE. Values from VASP.

Properties
**E_form (uncorrected)**: 1486 meV/atom
**Space-group type**: Pm-3m (221)
**E**: -5.429 eV per atom
**E above lowest polymorph**: 72 meV/atom
**Crystal system**: cubic
**Magnetization**: 2.07 μB/f.u.

Structure (Quantum ESPRESSO input):
```
&SYSTEM
  ibrav = 0, nat = 5, ntyp = 3
/
ATOMIC_SPECIES
V 50.94 V.upf
Si 28.09 Si.upf
B 10.81 B.upf
CELL_PARAMETERS angstrom
3.869 0.000 0.000
0.000 3.869 0.000
0.000 0.000 3.869
ATOMIC_POSITIONS angstrom
V 0.000 0.000 0.000
Si 1.935 1.935 1.935
B 0.000 1.935 1.935
B 1.935 0.000 1.935
B 1.935 1.935 0.000
```



Here is Sc2Cd after structural relaxation from Alexandria via LeMat-Bulk. Energies are from PBE. Values from VASP.

Properties
**Space-group type**: I4_1/amd (141)
**E**: -4.532 eV per atom
**Crystal system**: tetragonal
**Magnetization**: 0.83 μB/f.u.
**Formation enthalpy at 0 K**: -2 kJ/mol of formula units

Structure (Quantum ESPRESSO input):
```
&SYSTEM
  ibrav = 0, nat = 6, ntyp = 2
/
ATOMIC_SPECIES
Sc 44.96 Sc.upf
Cd 112.41 Cd.upf
CELL_PARAMETERS angstrom
-1.570 1.570 14.284
1.570 -1.570 14.284
1.570 1.570 -14.284
ATOMIC_POSITIONS angstrom
Sc 1.570 0.785 1.388
Sc 1.570 0.785 5.754
Sc 0.000 0.785 8.530
Sc 0.000 0.785 12.895
Cd 1.570 -0.785 10.713
Cd 0.000 2.354 3.571
```



Here is RbInPb after structural relaxation from Alexandria via LeMat-Bulk. Energies are from PBE. Values from VASP.

Properties
**Space-group type**: Cmcm (63)
**E**: -2.534 eV per atom
**Crystal system**: orthorhombic
**Magnetization**: 0.00 μB/f.u.
**Formation enthalpy at 0 K**: -18 kJ/mol of formula units

Structure (Quantum ESPRESSO input):
```
&SYSTEM
  ibrav = 0, nat = 6, ntyp = 3
/
ATOMIC_SPECIES
Rb 85.47 Rb.upf
In 114.82 In.upf
Pb 207.20 Pb.upf
CELL_PARAMETERS angstrom
2.818 -6.882 0.000
2.818 6.882 0.000
0.000 0.000 6.221
ATOMIC_POSITIONS angstrom
Rb 2.818 3.813 4.665
Rb 2.818 -3.813 1.555
In 2.818 0.000 0.000
In 2.818 0.000 3.110
Pb 2.818 6.112 1.555
Pb 2.818 -6.112 4.665
```



Here is HoV2C after structural relaxation from Alexandria via LeMat-Bulk. Energies are from PBE. Values from VASP.

Properties
**Space-group type**: R-3m (166)
**E**: -7.937 eV per atom
**E above lowest polymorph**: 0 meV/atom
**Crystal system**: trigonal
**Magnetization**: 0.09 μB/f.u.
**Formation enthalpy at 0 K**: 28 kJ/mol of formula units

Structure (Quantum ESPRESSO input):
```
&SYSTEM
  ibrav = 0, nat = 4, ntyp = 3
/
ATOMIC_SPECIES
Ho 164.93 Ho.upf
V 50.94 V.upf
C 12.01 C.upf
CELL_PARAMETERS angstrom
1.537 0.887 7.857
-1.537 0.887 7.857
0.000 -1.774 7.857
ATOMIC_POSITIONS angstrom
Ho 0.000 0.000 0.000
V 0.000 0.000 2.940
V 0.000 0.000 20.630
C 0.000 0.000 11.785
```



Here is TaSiP2 after structural relaxation from Alexandria via LeMat-Bulk. Energies are from PBE. Values from VASP.

Properties
**E_form (uncorrected)**: -13 meV/atom
**Space-group type**: R3m (160)
**E**: -7.037 eV per atom
**Crystal system**: trigonal
**Magnetization**: 0.00 μB/f.u.

Structure (Quantum ESPRESSO input):
```
&SYSTEM
  ibrav = 0, nat = 4, ntyp = 3
/
ATOMIC_SPECIES
Ta 180.95 Ta.upf
Si 28.09 Si.upf
P 30.97 P.upf
CELL_PARAMETERS angstrom
1.686 0.974 6.664
-1.686 0.974 6.664
0.000 -1.947 6.664
ATOMIC_POSITIONS angstrom
Ta 0.000 0.000 0.000
Si 0.000 0.000 4.728
P 0.000 0.000 10.183
P 0.000 0.000 14.894
```



Here is TlCrP2 after structural relaxation from Alexandria via LeMat-Bulk. Energies are from PBE. Values from VASP.

Properties
**Space-group type**: P4/mmm (123)
**E**: -5.091 eV per atom
**E above lowest polymorph**: 593 meV/atom
**Crystal system**: tetragonal
**Magnetization**: 3.28 μB/f.u.
**Formation enthalpy at 0 K**: 236 kJ/mol of formula units

Structure (Quantum ESPRESSO input):
```
&SYSTEM
  ibrav = 0, nat = 4, ntyp = 3
/
ATOMIC_SPECIES
Tl 204.38 Tl.upf
Cr 52.00 Cr.upf
P 30.97 P.upf
CELL_PARAMETERS angstrom
4.561 0.000 0.000
0.000 4.561 0.000
0.000 0.000 3.496
ATOMIC_POSITIONS angstrom
Tl 0.000 0.000 0.000
Cr 2.280 2.280 0.000
P 0.000 2.280 1.748
P 2.280 0.000 1.748
```



Here is BeNiCl2 after structural relaxation from Alexandria via LeMat-Bulk. Energies are from PBE. Values from VASP.

Properties
**E_form (uncorrected)**: 419 meV/atom
**Space-group type**: Fm-3m (225)
**E**: -2.882 eV per atom
**E above lowest polymorph**: 877 meV/atom
**Crystal system**: cubic
**Magnetization**: 0.02 μB/f.u.

Structure (Quantum ESPRESSO input):
```
&SYSTEM
  ibrav = 0, nat = 4, ntyp = 3
/
ATOMIC_SPECIES
Be 9.01 Be.upf
Ni 58.69 Ni.upf
Cl 35.45 Cl.upf
CELL_PARAMETERS angstrom
0.000 3.049 3.049
3.049 0.000 3.049
3.049 3.049 0.000
ATOMIC_POSITIONS angstrom
Be 0.000 0.000 0.000
Ni 3.049 3.049 3.049
Cl 1.524 1.524 1.524
Cl 4.573 4.573 4.573
```